This record from Alexandria via LeMat-Bulk describes a geometry-optimized Mg2InMo structure. The functional is PBE.

Output
- symmetry = Immm, No. 71

a b c (Å): 5.8258 5.8258 5.8258
angles (deg): 148.72 130.66 59.58
Fractional coordinates of all 4 atoms:
Mg 0.2361 0.2361 0.0000
Mg 0.7639 0.7639 0.0000
In 0.5000 0.0000 0.5000
Mo 0.0000 0.5000 0.5000

***

This record from Alexandria via LeMat-Bulk describes a geometry-optimized MgInMo2 structure. The functional is PBE.

Output
- symmetry = C2/m, No. 12
- energy above the lowest structure with this stoichiometry (kJ/mol of formula units) = 81

a b c (Å): 5.4298 5.4298 2.8054
angles (deg): 97.28 97.28 118.51
Fractional coordinates of all 4 atoms:
Mg 0.0000 0.0000 0.0000
In 0.5000 0.5000 0.0000
Mo 0.0000 0.5000 0.5000
Mo 0.5000 0.0000 0.5000

***

This record from Alexandria via LeMat-Bulk describes a geometry-optimized Mg2InMo structure. The functional is PBE.

Output
- symmetry = P2/m, No. 10

a b c (Å): 2.9144 4.8918 5.4407
angles (deg): 90.00 96.92 90.00
Fractional coordinates of all 4 atoms:
Mg 0.2380 0.0000 0.2312
Mg 0.7620 0.0000 0.7688
In 0.0000 0.5000 0.5000
Mo 0.5000 0.5000 0.0000

***

| no. | magnetization (μB per cell) | DOS(E_F) (states/eV/atom) | E_tot (eV/atom) |
| --- | --- | --- | --- |
| 1 | 0.00 | 0.57 | -3.970 |
| 2 | 0.00 | 0.81 | -6.158 |
| 3 | 0.00 | 0.81 | -3.920 |